## i
TbLuHg: optimized geometry, PBE-GGA.

Geometry as POSCAR:
```
TbLuHg
1.0
-1.787 1.787 6.406
1.787 -1.787 6.406
1.787 1.787 -6.406
Tb Lu Hg
1 1 1
Direct
0.000 0.000 0.000
0.309 0.309 0.000
0.662 0.662 0.000
```

## Properties
- Space group: I4mm, No. 107


## ii
TbLuHg: optimized geometry, PBE-GGA.

Geometry as POSCAR:
```
TbLuHg
1.0
5.096 0.000 0.000
-2.548 4.413 0.000
0.000 0.000 3.685
Tb Lu Hg
1 1 1
Direct
0.000 0.000 0.000
0.667 0.333 0.525
0.333 0.667 0.365
```

## Properties
- Space group: P3m1, No. 156


Of them, the most stable is i and the least stable is ii.


## i
LuTiHg2: optimized geometry, PBE-GGA.

Geometry as POSCAR:
```
LuTiHg2
1.0
4.599 0.000 0.000
0.000 4.599 0.000
0.000 0.000 4.087
Lu Ti Hg
1 1 2
Direct
0.000 0.000 0.000
0.500 0.500 0.000
0.000 0.500 0.500
0.500 0.000 0.500
```

## Properties
- Space group: P4/mmm, No. 123


## ii
LuTiHg2: optimized geometry, PBE-GGA.

Geometry as POSCAR:
```
LuTiHg2
1.0
3.580 0.000 0.000
0.000 3.580 0.000
0.000 0.000 6.754
Lu Ti Hg
1 1 2
Direct
0.000 0.000 0.000
0.000 0.000 0.500
0.500 0.500 0.268
0.500 0.500 0.732
```

## Properties
- Space group: P4/mmm, No. 123


Of them, the most stable is ii and the least stable is i.


## i
Tm2LuHg: optimized geometry, PBE-GGA.

Geometry as POSCAR:
```
Tm2LuHg
1.0
1.775 1.025 10.384
-1.775 1.025 10.384
0.000 -2.050 10.384
Tm Lu Hg
2 1 1
Direct
0.244 0.244 0.244
0.756 0.756 0.756
0.000 0.000 0.000
0.500 0.500 0.500
```

## Properties
- Space group: R-3m, No. 166


## ii
Tm2LuHg: optimized geometry, PBE-GGA.

Geometry as POSCAR:
```
Tm2LuHg
1.0
0.000 3.766 3.766
3.766 0.000 3.766
3.766 3.766 0.000
Tm Lu Hg
2 1 1
Direct
0.250 0.250 0.250
0.750 0.750 0.750
0.000 0.000 0.000
0.500 0.500 0.500
```

## Properties
- Space group: Fm-3m, No. 225


## iii
Tm2LuHg: optimized geometry, PBE-GGA.

Geometry as POSCAR:
```
Tm2LuHg
1.0
3.531 0.000 0.000
0.000 3.531 0.000
0.000 0.000 8.824
Tm Lu Hg
2 1 1
Direct
0.000 0.000 0.227
0.000 0.000 0.773
0.500 0.500 0.500
0.500 0.500 0.000
```

## Properties
- Space group: P4/mmm, No. 123


Of them, the most stable is iii and the least stable is ii.


## i
TmLu2Hg: optimized geometry, PBE-GGA.

Geometry as POSCAR:
```
TmLu2Hg
1.0
4.725 0.000 0.000
0.000 4.725 0.000
0.000 0.000 4.713
Tm Lu Hg
1 2 1
Direct
0.000 0.000 0.000
0.000 0.500 0.500
0.500 0.000 0.500
0.500 0.500 0.000
```

## Properties
- Space group: P4/mmm, No. 123


## ii
TmLu2Hg: optimized geometry, PBE-GGA.

Geometry as POSCAR:
```
TmLu2Hg
1.0
3.517 0.000 0.000
0.000 3.517 0.000
0.000 0.000 8.809
Tm Lu Hg
1 2 1
Direct
0.000 0.000 0.000
0.500 0.500 0.275
0.500 0.500 0.725
0.000 0.000 0.500
```

## Properties
- Space group: P4/mmm, No. 123


Of them, the most stable is ii and the least stable is i.